The following is a PBE-GGA calculation of a relaxed structure of ZnFeCu3, from Alexandria.

It has space group Pm-3m (No. 221), with a = 4.456 Å, b = 4.456 Å, c = 4.456 Å, α = 90.00°, β = 90.00° and γ = 90.00°. The inequivalent atoms are Zn at (0.000, 0.000, 0.000), Fe at (0.500, 0.500, 0.500) and Cu at (0.000, 0.500, 0.500).

For the total energy, the calculation gives -3.402 eV/atom. The formation energy from the elements comes out at 97 kJ/mol of atoms.

The following is a PBE-GGA calculation of a relaxed structure of ZnFe2Cu, from Alexandria.

It has space group R-3m (No. 166, hexagonal axes), with a = 2.5711 Å, b = 2.5711 Å, c = 25.9368 Å, α = 90.00°, β = 90.00° and γ = 120.00°. The inequivalent atoms are Zn at (0.0000, 0.0000, 0.0000), Fe at (0.0000, 0.0000, 0.2484) and Cu at (0.0000, 0.0000, 0.5000).

For the total energy, the calculation gives -5.446 eV/atom. The formation energy from the elements comes out at 12 kJ/mol of atoms.

The following is a PBE-GGA calculation of a relaxed structure of ZnFeCu, from Alexandria.

It has space group F-43m (No. 216), with a = 5.648 Å, b = 5.648 Å, c = 5.648 Å, α = 90.00°, β = 90.00° and γ = 90.00°. The inequivalent atoms are Zn at (0.000, 0.000, 0.000), Fe at (0.000, 0.000, 0.500) and Cu at (0.250, 0.250, 0.750).

For the total energy, the calculation gives -4.197 eV/atom. The formation energy from the elements comes out at 40 kJ/mol of atoms.